# Ce2SmHoSe5

An optimized crystal structure of Ce2SmHoSe5 (PBE, Alexandria via LeMat-Bulk).

Calculated values
Formation energy (no corrections) = -1315 meV per atom
Magnetization = 3.44 Bohr magnetons per cell
DOS at the Fermi energy = 2.138 states/eV per atom

Cell lengths 5.116, 5.116, 10.898 Å; angles 90.00, 90.00, 90.00 degrees
Site moments in Bohr magnetons follow the coordinates.
Atoms (fractional coordinates):
Se: 0.000 0.000 0.752  -0.01
Se: 0.500 0.000 0.500  -0.01
Se: 0.500 0.500 0.000  -0.01
Se: 0.000 0.000 0.248  -0.01
Se: 0.000 0.500 0.500  -0.01
Sm: 0.000 0.000 0.000  0.05
Ho: 0.000 0.000 0.500  0.09
Ce: 0.500 0.500 0.693  1.36
Ce: 0.500 0.500 0.307  1.36